Computed, not measured: a geometry-optimized TcPb structure at the PBE-GGA level of DFT.

Cell lengths 3.2548, 3.2548, 12.8424 Å; angles 90.00, 90.00, 120.00 degrees
Space group R-3m (No. 166, hexagonal axes)
Asymmetric unit:
Tc (0.0000, 0.0000, 0.0000) [3 per cell]
Pb (0.0000, 0.0000, 0.5000) [3 per cell]

Summary:
E above lowest polymorph, eV/atom: 0.5522
ΔH_f (0 K), eV/f.u.: 1.6



Computed, not measured: a geometry-optimized Tc4Pb3 structure at the PBE-GGA level of DFT.

Cell lengths 6.0609, 6.0609, 4.6002 Å; angles 90.00, 90.00, 120.00 degrees
Space group P6/mmm (No. 191)
Asymmetric unit:
Tc (0.0000, 0.0000, 0.2456) [2 per cell]
Tc (0.3333, 0.6667, 0.5000) [2 per cell]
Pb (0.0000, 0.5000, 0.0000) [3 per cell]

Summary:
ΔH_f (0 K), eV/f.u.: 9.3



Computed, not measured: a geometry-optimized Tc3Pb2 structure at the PBE-GGA level of DFT.

Cell lengths 8.751, 16.420, 5.721 Å; angles 90.00, 90.00, 90.00 degrees
Space group Fdd2 (No. 43)
Asymmetric unit:
Tc (0.000, 0.000, 0.000) [8 per cell]
Tc (0.034, 0.382, 0.263) [16 per cell]
Pb (0.078, 0.293, 0.705) [16 per cell]

Summary:
ΔH_f (0 K), eV/f.u.: 3.1



Computed, not measured: a geometry-optimized Tc8Pb structure at the PBE-GGA level of DFT.

Cell lengths 8.445, 8.445, 3.960 Å; angles 90.00, 90.00, 90.00 degrees
Space group I4/mmm (No. 139)
Asymmetric unit:
Tc (0.000, 0.346, 0.000) [8 per cell]
Tc (0.184, 0.184, 0.500) [8 per cell]
Pb (0.000, 0.000, 0.000) [2 per cell]

Summary:
ΔH_f (0 K), eV/f.u.: 1.6



> Among the records above, which one has the highest ΔH_f (0 K)?

Tc4Pb3